Entry 1:
The following is a PBE calculation of NaTmCd17 after structural relaxation, from the Alexandria database.

The structure in CIF format:
```
data_NaTmCd17
_space_group_name_H-M_alt 'R 3 m'
_space_group_IT_number 160
_space_group_name_Hall 'R 3 -2"'
_cell_length_a 10.0203
_cell_length_b 10.0203
_cell_length_c 15.4227
_cell_angle_alpha 90.00
_cell_angle_beta 90.00
_cell_angle_gamma 120.00
loop_
_atom_site_label
_atom_site_type_symbol
_atom_site_fract_x
_atom_site_fract_y
_atom_site_fract_z
Na1 Na 0.0000 0.0000 0.0000
Tm1 Tm 0.0000 0.0000 0.6584
Cd1 Cd 0.0000 0.0000 0.2513
Cd2 Cd 0.0000 0.0000 0.4401
Cd3 Cd 0.0012 0.3042 0.3352
Cd4 Cd 0.0297 0.5148 0.1945
Cd5 Cd 0.0401 0.5201 0.8271
Cd6 Cd 0.0761 0.5380 0.4840
```

Results
Total energy (eV per atom): -1.1764
E_form (eV per atom): -0.05
Size of the total moment (μB per atom): 0.000
Volume (Å³/f.u.): 447


Entry 2:
The following is a PBE calculation of URuPt2Rh after structural relaxation, from the Alexandria database.

The structure in CIF format:
```
data_URuPt2Rh
_space_group_name_H-M_alt 'P 1 21/m 1'
_space_group_IT_number 11
_cell_length_a 4.979
_cell_length_b 4.596
_cell_length_c 7.690
_cell_angle_alpha 90.00
_cell_angle_beta 108.02
_cell_angle_gamma 90.00
loop_
_space_group_symop_operation_xyz
'x,y,z'
'-x,-y,-z'
'-x,y+1/2,-z'
'x,-y+1/2,z'
loop_
_atom_site_label
_atom_site_type_symbol
_atom_site_fract_x
_atom_site_fract_y
_atom_site_fract_z
U1 U 0.247 0.250 0.208
Ru1 Ru 0.066 0.250 0.799
Pt1 Pt 0.334 0.750 0.988
Pt2 Pt 0.463 0.250 0.606
Rh1 Rh 0.130 0.750 0.594
```

Results
Total energy (eV per atom): -8.4146
E_form (eV per atom): -0.42
Size of the total moment (μB per atom): 0.000
Volume (Å³/f.u.): 84


Entry 3:
The following is a PBE calculation of Sc3ZnRh4 after structural relaxation, from the Alexandria database.

The structure in CIF format:
```
data_Sc3ZnRh4
_space_group_name_H-M_alt 'R -3 m'
_space_group_IT_number 166
_space_group_name_Hall '-R 3 2"'
_cell_length_a 4.4911
_cell_length_b 4.4911
_cell_length_c 21.9662
_cell_angle_alpha 90.00
_cell_angle_beta 90.00
_cell_angle_gamma 120.00
loop_
_atom_site_label
_atom_site_type_symbol
_atom_site_fract_x
_atom_site_fract_y
_atom_site_fract_z
Sc1 Sc 0.0000 0.0000 0.0000
Sc2 Sc 0.0000 0.0000 0.2447
Zn1 Zn 0.0000 0.0000 0.5000
Rh1 Rh 0.0000 0.0000 0.1240
Rh2 Rh 0.0000 0.0000 0.3757
```

Results
Total energy (eV per atom): -7.1237
E_form (eV per atom): -0.91
Size of the total moment (μB per atom): 0.000
Volume (Å³/f.u.): 128


Entry 4:
The following is a PBE calculation of La2Sm2Y5 after structural relaxation, from the Alexandria database.

The structure in CIF format:
```
data_La2Sm2Y5
_space_group_name_H-M_alt 'I m a 2'
_space_group_IT_number 46
_cell_length_a 15.122
_cell_length_b 11.986
_cell_length_c 6.844
_cell_angle_alpha 90.00
_cell_angle_beta 90.00
_cell_angle_gamma 90.00
loop_
_space_group_symop_operation_xyz
'x,y,z'
'-x,-y,z'
'-x+1/2,y,z'
'x+1/2,-y,z'
'x+1/2,y+1/2,z+1/2'
'-x+1/2,-y+1/2,z+1/2'
'-x,y+1/2,z+1/2'
'x,-y+1/2,z+1/2'
loop_
_atom_site_label
_atom_site_type_symbol
_atom_site_fract_x
_atom_site_fract_y
_atom_site_fract_z
La1 La 0.127 0.001 0.000
Sm1 Sm 0.000 0.000 0.546
Sm2 Sm 0.250 0.008 0.455
Y1 Y 0.053 0.744 0.861
Y2 Y 0.143 0.232 0.677
Y3 Y 0.250 0.742 0.651
```

Results
Total energy (eV per atom): -5.5297
E_form (eV per atom): 0.21
Size of the total moment (μB per atom): 0.000
Distance to the lowest polymorph of the same formula (eV/atom): 0.0000
Volume (Å³/f.u.): 310


Entry 5:
The following is a PBE calculation of OsPb3O6 after structural relaxation, from the Alexandria database.

The structure in CIF format:
```
data_OsPb3O6
_space_group_name_H-M_alt 'P 1 21/c 1'
_space_group_IT_number 14
_cell_length_a 5.718
_cell_length_b 6.417
_cell_length_c 10.207
_cell_angle_alpha 90.00
_cell_angle_beta 123.37
_cell_angle_gamma 90.00
loop_
_space_group_symop_operation_xyz
'x,y,z'
'-x,-y,-z'
'-x,y+1/2,-z+1/2'
'x,-y+1/2,z+1/2'
loop_
_atom_site_label
_atom_site_type_symbol
_atom_site_fract_x
_atom_site_fract_y
_atom_site_fract_z
Os1 Os 0.000 0.000 0.000
Pb1 Pb 0.278 0.043 0.772
Pb2 Pb 0.500 0.000 0.500
O1 O 0.113 0.078 0.213
O2 O 0.244 0.740 0.581
O3 O 0.316 0.156 0.020
```

Results
Total energy (eV per atom): -6.2719
Size of the total moment (μB per atom): 0.195
Formation energy without anion corrections (eV per atom): -1.061
Distance to the lowest polymorph of the same formula (eV/atom): 0.0000
Volume (Å³/f.u.): 156


Entry 6:
The following is a PBE calculation of SrTeAs3 after structural relaxation, from the Alexandria database.

The structure in CIF format:
```
data_SrTeAs3
_space_group_name_H-M_alt 'P m -3 m'
_space_group_IT_number 221
_space_group_name_Hall '-P 4 2 3'
_cell_length_a 5.622
_cell_length_b 5.622
_cell_length_c 5.622
_cell_angle_alpha 90.00
_cell_angle_beta 90.00
_cell_angle_gamma 90.00
loop_
_atom_site_label
_atom_site_type_symbol
_atom_site_fract_x
_atom_site_fract_y
_atom_site_fract_z
Sr1 Sr 0.000 0.000 0.000
Te1 Te 0.500 0.500 0.500
As1 As 0.000 0.000 0.500
```

Results
Total energy (eV per atom): -2.6937
Size of the total moment (μB per atom): 0.000
Formation energy without anion corrections (eV per atom): 1.061
Distance to the lowest polymorph of the same formula (eV/atom): 0.8693
Volume (Å³/f.u.): 178


Entry 7:
The following is a PBE calculation of AlTlO2 after structural relaxation, from the Alexandria database.

The structure in CIF format:
```
data_AlTlO2
_space_group_name_H-M_alt 'C 1 2/c 1'
_space_group_IT_number 15
_cell_length_a 8.158
_cell_length_b 9.083
_cell_length_c 5.055
_cell_angle_alpha 90.00
_cell_angle_beta 117.65
_cell_angle_gamma 90.00
loop_
_space_group_symop_operation_xyz
'x,y,z'
'-x,-y,-z'
'-x,y,-z+1/2'
'x,-y,z+1/2'
'x+1/2,y+1/2,z'
'-x+1/2,-y+1/2,-z'
'-x+1/2,y+1/2,-z+1/2'
'x+1/2,-y+1/2,z+1/2'
loop_
_atom_site_label
_atom_site_type_symbol
_atom_site_fract_x
_atom_site_fract_y
_atom_site_fract_z
Al1 Al 0.000 0.011 0.250
Tl1 Tl 0.000 0.349 0.750
O1 O 0.116 0.107 0.075
```

Results
Total energy (eV per atom): -5.9908
Size of the total moment (μB per atom): 0.000
Formation energy without anion corrections (eV per atom): -1.985
Distance to the lowest polymorph of the same formula (eV/atom): 0.1447
Volume (Å³/f.u.): 83


Entry 8:
The following is a PBE calculation of CaErGa after structural relaxation, from the Alexandria database.

The structure in CIF format:
```
data_CaErGa
_space_group_name_H-M_alt 'F -4 3 m'
_space_group_IT_number 216
_space_group_name_Hall 'F -4 2 3'
_cell_length_a 7.121
_cell_length_b 7.121
_cell_length_c 7.121
_cell_angle_alpha 90.00
_cell_angle_beta 90.00
_cell_angle_gamma 90.00
loop_
_atom_site_label
_atom_site_type_symbol
_atom_site_fract_x
_atom_site_fract_y
_atom_site_fract_z
Ca1 Ca 0.000 0.000 0.000
Er1 Er 0.000 0.000 0.500
Ga1 Ga 0.250 0.250 0.250
```

Results
Total energy (eV per atom): -3.4189
E_form (eV per atom): -0.22
Size of the total moment (μB per atom): 0.000
Distance to the lowest polymorph of the same formula (eV/atom): 0.1201
Volume (Å³/f.u.): 90


Entry 9:
The following is a PBE calculation of DyPu2Sn9 after structural relaxation, from the Alexandria database.

The structure in CIF format:
```
data_DyPu2Sn9
_space_group_name_H-M_alt 'P 4/m m m'
_space_group_IT_number 123
_space_group_name_Hall '-P 4 2'
_cell_length_a 4.697
_cell_length_b 4.697
_cell_length_c 13.953
_cell_angle_alpha 90.00
_cell_angle_beta 90.00
_cell_angle_gamma 90.00
loop_
_atom_site_label
_atom_site_type_symbol
_atom_site_fract_x
_atom_site_fract_y
_atom_site_fract_z
Dy1 Dy 0.000 0.000 0.000
Pu1 Pu 0.000 0.000 0.334
Sn1 Sn 0.000 0.500 0.168
Sn2 Sn 0.000 0.500 0.500
Sn3 Sn 0.500 0.500 0.000
Sn4 Sn 0.500 0.500 0.334
```

Results
Total energy (eV per atom): -6.1558
E_form (eV per atom): -0.38
Size of the total moment (μB per atom): 0.925
Volume (Å³/f.u.): 308


Entry 10:
The following is a PBE calculation of BePb2 after structural relaxation, from the Alexandria database.

The structure in CIF format:
```
data_BePb2
_space_group_name_H-M_alt 'P -6 2 m'
_space_group_IT_number 189
_space_group_name_Hall 'P -6 -2'
_cell_length_a 7.4875
_cell_length_b 7.4875
_cell_length_c 4.4780
_cell_angle_alpha 90.00
_cell_angle_beta 90.00
_cell_angle_gamma 120.00
loop_
_atom_site_label
_atom_site_type_symbol
_atom_site_fract_x
_atom_site_fract_y
_atom_site_fract_z
Be1 Be 0.0000 0.0000 0.0000
Be2 Be 0.3333 0.6667 0.5000
Pb1 Pb 0.0000 0.2763 0.5000
Pb2 Pb 0.0000 0.6117 0.0000
```

Results
Total energy (eV per atom): -3.2701
E_form (eV per atom): 0.44
Size of the total moment (μB per atom): 0.000
Distance to the lowest polymorph of the same formula (eV/atom): 0.1555
Volume (Å³/f.u.): 72